1.
The following is a DFT calculation (PBE) of a geometry-optimized Zr2AgCl structure. Values from VASP.

```
&SYSTEM
  ibrav = 0, nat = 4, ntyp = 3
/
ATOMIC_SPECIES
Zr 91.22 Zr.upf
Cl 35.45 Cl.upf
Ag 107.87 Ag.upf
CELL_PARAMETERS angstrom
-2.9916 4.8462 0.9964
-5.2500 -0.9685 2.2199
5.7396 -0.3372 0.6091
ATOMIC_POSITIONS crystal
Zr 0.4721 0.4721 0.0000
Zr 0.0279 0.0279 0.0000
Cl 0.2500 0.7500 0.5000
Ag 0.7500 0.2500 0.5000
```

**Final energy**: -5.577 eV per atom
**Total magnetic moment**: 0.0 μB/cell
**Formation energy without anion corrections**: -0.128 eV/atom
**Space group**: Immm

2.
The following is a DFT calculation (PBE) of a geometry-optimized P3PbCl structure. Values from VASP.

```
&SYSTEM
  ibrav = 0, nat = 5, ntyp = 3
/
ATOMIC_SPECIES
Cl 35.45 Cl.upf
P 30.97 P.upf
Pb 207.20 Pb.upf
CELL_PARAMETERS angstrom
5.3926 0.0000 0.0000
0.0000 5.3926 0.0000
0.0000 0.0000 5.3926
ATOMIC_POSITIONS crystal
Cl 0.5000 0.5000 0.5000
P 0.5000 0.0000 0.0000
P 0.0000 0.5000 0.0000
P 0.0000 0.0000 0.5000
Pb 0.0000 0.0000 0.0000
```

**Final energy**: -2.899 eV per atom
**Total magnetic moment**: 4.2 μB/cell
**Formation energy without anion corrections**: 1.458 eV/atom
**Space group**: Pm-3m

3.
The following is a DFT calculation (PBE) of a geometry-optimized TmGaNiRu structure. Values from VASP.

```
&SYSTEM
  ibrav = 0, nat = 4, ntyp = 4
/
ATOMIC_SPECIES
Tm 168.93 Tm.upf
Ga 69.72 Ga.upf
Ru 101.07 Ru.upf
Ni 58.69 Ni.upf
CELL_PARAMETERS angstrom
-0.5590 -4.3208 -0.9820
1.4124 -3.1379 2.8469
-2.9628 -2.4430 2.2802
ATOMIC_POSITIONS crystal
Tm 0.5000 0.5000 0.5000
Ga 0.0000 0.0000 0.0000
Ru 0.7500 0.7500 0.7500
Ni 0.2500 0.2500 0.2500
```

**Energy relative to the elements**: -0.42 eV/atom
**Final energy**: -6.060 eV per atom
**Total magnetic moment**: 0.0 μB/cell
**Space group**: F-43m

4.
The following is a DFT calculation (PBE) of a geometry-optimized PmEr4Tm2Th structure. Values from VASP.

```
&SYSTEM
  ibrav = 0, nat = 16, ntyp = 4
/
ATOMIC_SPECIES
Th 232.04 Th.upf
Tm 168.93 Tm.upf
Er 167.26 Er.upf
Pm 145.00 Pm.upf
CELL_PARAMETERS angstrom
9.2717 -0.0514 -1.7525
-0.0579 9.2728 -1.7523
-5.8561 -5.8608 8.2650
ATOMIC_POSITIONS crystal
Th 0.0000 0.5000 0.5000
Th 0.0000 0.5000 0.0000
Tm 0.5000 0.0000 0.5000
Tm 0.0000 0.0000 0.5000
Tm 0.5000 0.5000 0.0000
Tm 0.5000 0.0000 0.0000
Er 0.2543 0.2485 0.9986
Er 0.7486 0.7544 0.4987
Er 0.2429 0.7509 0.4970
Er 0.2509 0.7429 0.9970
Er 0.7457 0.7515 0.0014
Er 0.2514 0.2456 0.5013
Er 0.7571 0.2491 0.5030
Er 0.7491 0.2571 0.0030
Pm 0.5000 0.5000 0.5000
Pm 0.0000 0.0000 0.0000
```

**Energy relative to the elements**: 0.45 eV/atom
**Final energy**: -4.468 eV per atom
**Total magnetic moment**: 0.0 μB/cell
**Space group**: C2/c